(1)
A relaxed Ag5SbO5 crystal, computed with PBE-GGA.

Computed properties:
size of the total moment: 0.00 μB per formula unit
VASP energy: -48.06 eV per formula unit

POSCAR file:
```
Ag5SbO5
1.0
4.071 0.000 0.000
-2.036 6.195 -0.019
0.000 -2.342 6.608
Ag Sb O
5 1 5
direct
0.000 0.000 0.500
0.689 0.378 0.825
0.311 0.622 0.175
0.651 0.302 0.393
0.349 0.698 0.607
0.000 0.000 0.000
0.144 0.288 0.248
0.856 0.712 0.752
0.098 0.195 0.818
0.500 0.000 0.000
0.902 0.805 0.182
```

(2)
A relaxed Ag2Sb2O7 crystal, computed with PBE-GGA.

Computed properties:
size of the total moment: 0.00 μB per formula unit
VASP energy: -55.81 eV per formula unit

POSCAR file:
```
Ag2Sb2O7
1.0
-4.267 -1.455 2.198
1.890 -5.001 1.601
1.897 2.514 3.903
Ag Sb O
2 2 7
direct
0.230 0.500 0.230
0.770 0.500 0.770
0.726 0.001 0.274
0.274 0.999 0.726
0.517 0.780 0.483
0.014 0.766 0.476
0.986 0.234 0.524
0.483 0.220 0.517
0.000 0.000 0.000
0.476 0.234 0.014
0.524 0.766 0.986
```

(3)
A relaxed AgSbO4 crystal, computed with PBE-GGA.

Computed properties:
size of the total moment: 0.00 μB per formula unit
VASP energy: -30.42 eV per formula unit

POSCAR file:
```
AgSbO4
1.0
4.041 -0.020 0.000
-1.993 5.977 0.000
0.000 0.000 6.591
O Ag Sb
8 2 2
direct
0.089 0.678 0.436
0.421 0.343 0.250
0.911 0.322 0.936
0.224 0.947 0.750
0.089 0.678 0.064
0.911 0.322 0.564
0.776 0.053 0.250
0.579 0.657 0.750
0.758 0.015 0.750
0.242 0.985 0.250
0.047 0.594 0.750
0.953 0.406 0.250
```